VASP calculation (PBE) on Re2RhAu after structural relaxation.

The value obtained for the calculated formation energy is 0.49 eV per atom. Its density of states at the Fermi level is 0.738 states/eV/atom. Its energy is -8.3884 eV per atom. The value obtained for the offset from the most stable computed form is 1.49 eV/f.u. For the calculated volume, the calculation gives 15.607 Å³ per atom.

a = 4.453 Å, b = 4.453 Å, c = 4.453 Å
α = 60.00°, β = 60.00°, γ = 60.00°
Fractional positions:
Re  0.250  0.250  0.250
Re  0.000  0.000  0.000
Rh  0.750  0.750  0.750
Au  0.500  0.500  0.500